# 1
Entry from Alexandria via LeMat-Bulk: a relaxed structure of Al2PRh (PBE).

The energy of formation comes out at -0.245 eV/atom. Its space-group type is I-4m2.

abc: 3.8107 3.8107 8.0388
angles: 90.00 90.00 90.00
Atoms (fractional coordinates):
Al 0.0000 0.0000 0.0000
Al 0.0000 0.5000 0.2500
Al 0.5000 0.0000 0.7500
Al 0.5000 0.5000 0.5000
P 0.0000 0.5000 0.7500
P 0.5000 0.0000 0.2500
Rh 0.0000 0.0000 0.5000
Rh 0.5000 0.5000 0.0000

---

# 2
Entry from Alexandria via LeMat-Bulk: a relaxed structure of Al2PRh (PBE).

The energy of formation comes out at -0.416 eV/atom. Its space-group type is Cm.

abc: 9.5005 2.8183 4.5947
angles: 90.00 106.29 90.00
Atoms (fractional coordinates):
Al 0.0000 0.0000 0.0000
Al 0.2111 0.0000 0.6468
Al 0.5000 0.5000 0.0000
Al 0.7111 0.5000 0.6468
P 0.4395 0.0000 0.4737
P 0.9395 0.5000 0.4737
Rh 0.2486 0.5000 0.1507
Rh 0.7486 0.0000 0.1507

---

# 3
Entry from Alexandria via LeMat-Bulk: a relaxed structure of AlP4Rh (PBE).

The energy of formation comes out at 0.555 eV/atom. Its space-group type is F-43m.

abc: 5.0067 5.0067 5.0067
angles: 60.00 60.00 60.00
Atoms (fractional coordinates):
Al 0.0000 0.0000 0.0000
P 0.1209 0.6264 0.6264
P 0.6264 0.1209 0.6264
P 0.6264 0.6264 0.1209
P 0.6264 0.6264 0.6264
Rh 0.2500 0.2500 0.2500

---

# 4
Entry from Alexandria via LeMat-Bulk: a relaxed structure of Al2PRh (PBE).

The energy of formation comes out at -0.480 eV/atom. Its space-group type is P4/mmm.

abc: 3.2293 3.2293 5.3913
angles: 90.00 90.00 90.00
Atoms (fractional coordinates):
Al 0.0000 0.0000 0.2439
Al 0.0000 0.0000 0.7561
P 0.5000 0.5000 0.0000
Rh 0.5000 0.5000 0.5000

---

# 5
Entry from Alexandria via LeMat-Bulk: a relaxed structure of AlPRh (PBE).

The energy of formation comes out at -0.390 eV/atom. Its space-group type is P-6m2.

abc: 4.1095 4.1095 2.8997
angles: 90.00 90.00 120.00
Atoms (fractional coordinates):
Al 0.0000 0.0000 0.0000
P 0.6667 0.3333 0.5000
Rh 0.3333 0.6667 0.5000

---

# 6
Entry from Alexandria via LeMat-Bulk: a relaxed structure of Al2PRh (PBE).

The energy of formation comes out at -0.563 eV/atom. Its space-group type is Pm.

abc: 3.3761 3.9458 4.7906
angles: 90.00 110.38 90.00
Atoms (fractional coordinates):
Al 0.0000 0.0000 0.0000
Al 0.2963 0.5000 0.5987
P 0.5675 0.5000 0.1346
Rh 0.7188 0.0000 0.4420

---

# 7
Entry from Alexandria via LeMat-Bulk: a relaxed structure of Al2PRh (PBE).

The energy of formation comes out at -0.297 eV/atom. Its space-group type is P4mm.

abc: 2.8865 2.8865 7.1009
angles: 90.00 90.00 90.00
Atoms (fractional coordinates):
Al 0.0000 0.0000 0.0000
Al 0.5000 0.5000 0.2807
P 0.0000 0.0000 0.5482
Rh 0.5000 0.5000 0.7511

---

# 8
Entry from Alexandria via LeMat-Bulk: a relaxed structure of AlPRh (PBE).

The energy of formation comes out at -0.321 eV/atom. Its space-group type is F-43m.

abc: 5.6659 5.6659 5.6659
angles: 90.00 90.00 90.00
Atoms (fractional coordinates):
Al 0.0000 0.0000 0.0000
Al 0.0000 0.5000 0.5000
Al 0.5000 0.0000 0.5000
Al 0.5000 0.5000 0.0000
P 0.2500 0.2500 0.2500
P 0.2500 0.7500 0.7500
P 0.7500 0.2500 0.7500
P 0.7500 0.7500 0.2500
Rh 0.0000 0.0000 0.5000
Rh 0.0000 0.5000 0.0000
Rh 0.5000 0.0000 0.0000
Rh 0.5000 0.5000 0.5000

---

# 9
Entry from Alexandria via LeMat-Bulk: a relaxed structure of AlPRhS2 (PBE).

The value obtained for the energy above the lowest structure with this stoichiometry is 0.000 eV/atom. Its space-group type is P4/mmm.

abc: 4.8624 4.8624 4.3197
angles: 90.00 90.00 90.00
Atoms (fractional coordinates):
Al 0.0000 0.0000 0.0000
P 0.5000 0.5000 0.0000
Rh 0.5000 0.5000 0.5000
S 0.0000 0.5000 0.5000
S 0.5000 0.0000 0.5000

---

# 10
Entry from Alexandria via LeMat-Bulk: a relaxed structure of AlPRh2Se (PBE).

For the energy, the calculation gives -0.344 Ry per atom. Its space-group type is P4/mmm.

abc: 4.6005 4.6005 4.6701
angles: 90.00 90.00 90.00
Atoms (fractional coordinates):
Al 0.0000 0.0000 0.0000
P 0.5000 0.5000 0.0000
Rh 0.0000 0.5000 0.5000
Rh 0.5000 0.0000 0.5000
Se 0.0000 0.0000 0.5000

---

# 11
Entry from Alexandria via LeMat-Bulk: a relaxed structure of Sm3AlP2Rh9 (PBE).

The energy of formation comes out at -0.645 eV/atom. Its space-group type is P-3m1.

abc: 6.3516 6.3516 7.7797
angles: 90.00 90.00 120.00
Atoms (fractional coordinates):
Sm 0.0000 0.0000 0.0000
Sm 0.3333 0.6667 0.6575
Sm 0.6667 0.3333 0.3425
Al 0.0000 0.0000 0.5000
P 0.3333 0.6667 0.1620
P 0.6667 0.3333 0.8380
Rh 0.0000 0.5000 0.0000
Rh 0.1702 0.3403 0.3243
Rh 0.1702 0.8298 0.3243
Rh 0.3403 0.1702 0.6757
Rh 0.5000 0.0000 0.0000
Rh 0.5000 0.5000 0.0000
Rh 0.6597 0.8298 0.3243
Rh 0.8298 0.1702 0.6757
Rh 0.8298 0.6597 0.6757

---

# 12
Entry from Alexandria via LeMat-Bulk: a relaxed structure of SmAlP2Rh5 (PBE).

The energy of formation comes out at -0.800 eV/atom. Its space-group type is P4/mmm.

abc: 4.0780 4.0780 9.4856
angles: 90.00 90.00 90.00
Atoms (fractional coordinates):
Sm 0.0000 0.0000 0.0000
Al 0.0000 0.0000 0.5000
P 0.5000 0.5000 0.2376
P 0.5000 0.5000 0.7624
Rh 0.0000 0.5000 0.3418
Rh 0.0000 0.5000 0.6582
Rh 0.5000 0.0000 0.3418
Rh 0.5000 0.0000 0.6582
Rh 0.5000 0.5000 0.0000

---

# 13
Entry from Alexandria via LeMat-Bulk: a relaxed structure of Tb3AlP2Rh9 (PBE).

The energy of formation comes out at -0.655 eV/atom. Its space-group type is P-3m1.

abc: 6.2395 6.2395 7.9416
angles: 90.00 90.00 120.00
Atoms (fractional coordinates):
Tb 0.0000 0.0000 0.0000
Tb 0.3333 0.6667 0.6545
Tb 0.6667 0.3333 0.3455
Al 0.0000 0.0000 0.5000
P 0.3333 0.6667 0.1631
P 0.6667 0.3333 0.8369
Rh 0.0000 0.5000 0.0000
Rh 0.1680 0.3359 0.3203
Rh 0.1680 0.8320 0.3203
Rh 0.3359 0.1680 0.6797
Rh 0.5000 0.0000 0.0000
Rh 0.5000 0.5000 0.0000
Rh 0.6641 0.8320 0.3203
Rh 0.8320 0.1680 0.6797
Rh 0.8320 0.6641 0.6797

---

# 14
Entry from Alexandria via LeMat-Bulk: a relaxed structure of Th2AlPRh6 (PBE).

The energy of formation comes out at -0.840 eV/atom. Its space-group type is R-3m.

abc: 13.2798 13.2798 13.2798
angles: 25.12 25.12 25.12
Atoms (fractional coordinates):
Th 0.1107 0.1107 0.1107
Th 0.2830 0.2830 0.2830
Th 0.7170 0.7170 0.7170
Th 0.8893 0.8893 0.8893
Al 0.4205 0.4205 0.4205
Al 0.5795 0.5795 0.5795
P 0.0000 0.0000 0.0000
P 0.5000 0.5000 0.5000
Rh 0.1068 0.6438 0.6438
Rh 0.2101 0.2101 0.6882
Rh 0.2101 0.6882 0.2101
Rh 0.3118 0.7899 0.7899
Rh 0.3562 0.3562 0.8932
Rh 0.3562 0.8932 0.3562
Rh 0.6438 0.1068 0.6438
Rh 0.6438 0.6438 0.1068
Rh 0.6882 0.2101 0.2101
Rh 0.7899 0.3118 0.7899
Rh 0.7899 0.7899 0.3118
Rh 0.8932 0.3562 0.3562

---

# 15
Entry from Alexandria via LeMat-Bulk: a relaxed structure of AlTlPRh2 (PBE).

The energy of formation comes out at 1.586 eV/atom. Its space-group type is P4/mmm.

abc: 5.0082 5.0082 4.8149
angles: 90.00 90.00 90.00
Atoms (fractional coordinates):
Al 0.0000 0.0000 0.0000
Tl 0.0000 0.0000 0.5000
P 0.5000 0.5000 0.0000
Rh 0.0000 0.5000 0.5000
Rh 0.5000 0.0000 0.5000

---

# 16
Entry from Alexandria via LeMat-Bulk: a relaxed structure of AlPRhW2 (PBE).

The energy of formation comes out at 0.487 eV/atom. Its space-group type is P4/mmm.

abc: 4.4512 4.4512 4.3448
angles: 90.00 90.00 90.00
Atoms (fractional coordinates):
Al 0.0000 0.0000 0.0000
P 0.5000 0.5000 0.5000
Rh 0.5000 0.5000 0.0000
W 0.0000 0.5000 0.5000
W 0.5000 0.0000 0.5000

---

# 17
Entry from Alexandria via LeMat-Bulk: a relaxed structure of Y2AlPRh (PBE).

The energy of formation comes out at -0.492 eV/atom. Its space-group type is P4/mmm.

abc: 5.2369 5.2369 4.3949
angles: 90.00 90.00 90.00
Atoms (fractional coordinates):
Y 0.0000 0.5000 0.0000
Y 0.5000 0.0000 0.0000
Al 0.0000 0.0000 0.5000
P 0.5000 0.5000 0.0000
Rh 0.5000 0.5000 0.5000

---

# 18
Entry from Alexandria via LeMat-Bulk: a relaxed structure of Y3AlP2Rh9 (PBE).

The energy of formation comes out at -0.648 eV/atom. Its space-group type is P-3m1.

abc: 6.2264 6.2264 7.9726
angles: 90.00 90.00 120.00
Atoms (fractional coordinates):
Y 0.0000 0.0000 0.0000
Y 0.3333 0.6667 0.6542
Y 0.6667 0.3333 0.3458
Al 0.0000 0.0000 0.5000
P 0.3333 0.6667 0.1632
P 0.6667 0.3333 0.8368
Rh 0.0000 0.5000 0.0000
Rh 0.1676 0.3351 0.3195
Rh 0.1676 0.8324 0.3195
Rh 0.3351 0.1676 0.6805
Rh 0.5000 0.0000 0.0000
Rh 0.5000 0.5000 0.0000
Rh 0.6649 0.8324 0.3195
Rh 0.8324 0.1676 0.6805
Rh 0.8324 0.6649 0.6805

---

# 19
Entry from Alexandria via LeMat-Bulk: a relaxed structure of AlP2Ru (PBE).

The energy of formation comes out at -0.089 eV/atom. Its space-group type is P4/mmm.

abc: 2.9109 2.9109 6.6307
angles: 90.00 90.00 90.00
Atoms (fractional coordinates):
Al 0.0000 0.0000 0.0000
P 0.5000 0.5000 0.2742
P 0.5000 0.5000 0.7258
Ru 0.0000 0.0000 0.5000

---

# 20
Entry from Alexandria via LeMat-Bulk: a relaxed structure of AlPRu2 (PBE).

The value obtained for the energy above the lowest structure with this stoichiometry is 0.204 eV/atom. The energy of formation comes out at -0.368 eV/atom. Its space-group type is R-3m.

abc: 2.9117 2.9117 22.6334
angles: 90.00 90.00 120.00
Atoms (fractional coordinates):
Al 0.0000 0.0000 0.0000
Al 0.3333 0.6667 0.6667
Al 0.6667 0.3333 0.3333
P 0.0000 0.0000 0.5000
P 0.3333 0.6667 0.1667
P 0.6667 0.3333 0.8333
Ru 0.0000 0.0000 0.2419
Ru 0.0000 0.0000 0.7581
Ru 0.3333 0.6667 0.4248
Ru 0.3333 0.6667 0.9085
Ru 0.6667 0.3333 0.0915
Ru 0.6667 0.3333 0.5752

---

# 21
Entry from Alexandria via LeMat-Bulk: a relaxed structure of AlP2Ru (PBE).

The energy of formation comes out at -0.223 eV/atom. Its space-group type is I-42d.

abc: 5.4691 5.4691 10.4001
angles: 90.00 90.00 90.00
Atoms (fractional coordinates):
Al 0.0000 0.0000 0.0000
Al 0.0000 0.5000 0.2500
Al 0.5000 0.0000 0.7500
Al 0.5000 0.5000 0.5000
P 0.2303 0.2500 0.6250
P 0.2500 0.7303 0.8750
P 0.2500 0.7697 0.3750
P 0.2697 0.2500 0.1250
P 0.7303 0.7500 0.1250
P 0.7500 0.2303 0.3750
P 0.7500 0.2697 0.8750
P 0.7697 0.7500 0.6250
Ru 0.0000 0.0000 0.5000
Ru 0.0000 0.5000 0.7500
Ru 0.5000 0.0000 0.2500
Ru 0.5000 0.5000 0.0000

---

# 22
Entry from Alexandria via LeMat-Bulk: a relaxed structure of AlPRu2 (PBE).

The value obtained for the energy above the lowest structure with this stoichiometry is 0.322 eV/atom. The energy of formation comes out at -0.250 eV/atom. Its space-group type is Immm.

abc: 2.9390 4.7924 7.9614
angles: 90.00 90.00 90.00
Atoms (fractional coordinates):
Al 0.0000 0.0000 0.0000
Al 0.5000 0.5000 0.5000
P 0.0000 0.0000 0.5000
P 0.5000 0.5000 0.0000
Ru 0.0000 0.5000 0.2200
Ru 0.0000 0.5000 0.7800
Ru 0.5000 0.0000 0.2800
Ru 0.5000 0.0000 0.7200

---

# 23
Entry from Alexandria via LeMat-Bulk: a relaxed structure of AlPRu3 (PBE).

The value obtained for the energy above the lowest structure with this stoichiometry is 0.000 eV/atom. The energy of formation comes out at 0.130 eV/atom. Its space-group type is Pm-3m.

abc: 4.3119 4.3119 4.3119
angles: 90.00 90.00 90.00
Atoms (fractional coordinates):
Al 0.0000 0.0000 0.0000
P 0.5000 0.5000 0.5000
Ru 0.0000 0.5000 0.5000
Ru 0.5000 0.0000 0.5000
Ru 0.5000 0.5000 0.0000

---

# 24
Entry from Alexandria via LeMat-Bulk: a relaxed structure of AlPRu3 (PBE).

The value obtained for the energy above the lowest structure with this stoichiometry is 1.206 eV/atom. The energy of formation comes out at 1.336 eV/atom. Its space-group type is Pm-3m.

abc: 4.4034 4.4034 4.4034
angles: 90.00 90.00 90.00
Atoms (fractional coordinates):
Al 0.0000 0.0000 0.0000
P 0.5000 0.5000 0.5000
Ru 0.0000 0.0000 0.5000
Ru 0.0000 0.5000 0.0000
Ru 0.5000 0.0000 0.0000

---

# 25
Entry from Alexandria via LeMat-Bulk: a relaxed structure of AlP2Ru (PBE).

The energy of formation comes out at 0.182 eV/atom. Its space-group type is Pmmm.

abc: 3.1495 4.2030 4.2565
angles: 90.00 90.00 90.00
Atoms (fractional coordinates):
Al 0.0000 0.0000 0.0000
P 0.0000 0.5000 0.5000
P 0.5000 0.0000 0.5000
Ru 0.5000 0.5000 0.0000

---

# 26
Entry from Alexandria via LeMat-Bulk: a relaxed structure of AlP2Ru (PBE).

The energy of formation comes out at -0.226 eV/atom. Its space-group type is Cm.

abc: 8.0546 2.9248 5.8185
angles: 90.00 113.19 90.00
Atoms (fractional coordinates):
Al 0.0000 0.0000 0.0000
Al 0.5000 0.5000 0.0000
P 0.1477 0.5000 0.6530
P 0.2857 0.5000 0.2153
P 0.6477 0.0000 0.6530
P 0.7857 0.0000 0.2153
Ru 0.3407 0.0000 0.5762
Ru 0.8407 0.5000 0.5762

---

# 27
Entry from Alexandria via LeMat-Bulk: a relaxed structure of Al2PRu (PBE).

The energy of formation comes out at -0.294 eV/atom. Its space-group type is P4mm.

abc: 2.8950 2.8950 7.0622
angles: 90.00 90.00 90.00
Atoms (fractional coordinates):
Al 0.0000 0.0000 0.0000
Al 0.5000 0.5000 0.2944
P 0.0000 0.0000 0.5639
Ru 0.5000 0.5000 0.7458